# 1
Density functional theory data (PBE-GGA) for crystalline Mg2Ge2B at its relaxed geometry.

Cell: 6.330 6.330 4.517 Å, 90.00 90.00 90.00°
Atoms (fractional coordinates):
1 Ge 0.149 0.649 0.500
2 Ge 0.649 0.851 0.500
3 Ge 0.851 0.351 0.500
4 Ge 0.351 0.149 0.500
5 B 0.000 0.000 0.000
6 B 0.500 0.500 0.000
7 Mg 0.329 0.829 0.000
8 Mg 0.829 0.671 0.000
9 Mg 0.671 0.171 0.000
10 Mg 0.171 0.329 0.000

Properties
E_tot, eV per atom: -3.283
ΔE_f, eV per formula unit: 2.69
Space group: P4/mbm
M_tot, μB/atom: 0.00

# 2
Density functional theory data (PBE-GGA) for crystalline Mg2Ni6GeB at its relaxed geometry.

Cell: 5.231 6.437 5.218 Å, 66.75 59.92 89.99°
Atoms (fractional coordinates):
1 Mg 0.731 0.172 0.539
2 Mg 0.269 0.828 0.461
3 Ni 0.267 0.308 0.465
4 Ni 0.725 0.668 0.082
5 Ni 0.192 0.668 0.082
6 Ni 0.808 0.332 0.918
7 Ni 0.275 0.332 0.918
8 Ni 0.733 0.692 0.535
9 Ge 0.000 0.000 0.000
10 B 0.500 0.500 0.000

Properties
E_tot, eV per atom: -5.102
ΔE_f, eV per formula unit: -1.85
Space group: C2/m
M_tot, μB/atom: 0.00

# 3
Density functional theory data (PBE-GGA) for crystalline Mg3Ni9GeB2 at its relaxed geometry.

Cell: 5.284 5.284 8.063 Å, 90.00 90.00 120.00°
Atoms (fractional coordinates):
1 Mg 0.333 0.667 0.642
2 Mg 0.000 0.000 0.000
3 Mg 0.667 0.333 0.358
4 Ni 0.841 0.159 0.726
5 Ni 0.841 0.681 0.726
6 Ni 0.319 0.159 0.726
7 Ni 0.681 0.841 0.274
8 Ni 0.159 0.319 0.274
9 Ni 0.159 0.841 0.274
10 Ni 0.500 0.000 0.000
11 Ni 0.000 0.500 0.000
12 Ni 0.500 0.500 0.000
13 Ge 0.000 0.000 0.500
14 B 0.333 0.667 0.148
15 B 0.667 0.333 0.852

Properties
E_tot, eV per atom: -5.184
ΔE_f, eV per formula unit: -2.97
Space group: P-3m1
M_tot, μB/atom: 0.00

# 4
Density functional theory data (PBE-GGA) for crystalline MgGeB2O6 at its relaxed geometry.

Cell: 5.054 6.250 6.250 Å, 83.27 72.99 72.99°
Atoms (fractional coordinates):
1 Mg 0.250 0.900 0.100
2 Mg 0.750 0.100 0.900
3 Ge 0.250 0.281 0.719
4 Ge 0.750 0.719 0.281
5 B 0.329 0.787 0.627
6 B 0.171 0.373 0.213
7 B 0.671 0.213 0.373
8 B 0.829 0.627 0.787
9 O 0.184 0.978 0.773
10 O 0.316 0.227 0.022
11 O 0.816 0.022 0.227
12 O 0.684 0.773 0.978
13 O 0.365 0.833 0.388
14 O 0.135 0.612 0.167
15 O 0.635 0.167 0.612
16 O 0.865 0.388 0.833
17 O 0.160 0.615 0.705
18 O 0.340 0.295 0.385
19 O 0.840 0.385 0.295
20 O 0.660 0.705 0.615

Properties
E_tot, eV per atom: -7.131
Energy relative to the elements, uncorrected, eV per atom: -2.1997
Space group: C2/c
M_tot, μB/atom: 0.00

# 5
Density functional theory data (PBE-GGA) for crystalline Mg2GeB2Pt5 at its relaxed geometry.

Cell: 3.163 9.473 9.473 Å, 90.00 90.00 90.00°
Atoms (fractional coordinates):
1 Mg 0.000 0.676 0.176
2 Mg 0.000 0.324 0.824
3 Mg 0.000 0.176 0.324
4 Mg 0.000 0.824 0.676
5 Ge 0.000 0.000 0.000
6 Ge 0.000 0.500 0.500
7 B 0.000 0.125 0.625
8 B 0.000 0.875 0.375
9 B 0.000 0.625 0.875
10 B 0.000 0.375 0.125
11 Pt 0.500 0.217 0.070
12 Pt 0.500 0.783 0.930
13 Pt 0.500 0.070 0.783
14 Pt 0.500 0.717 0.430
15 Pt 0.500 0.930 0.217
16 Pt 0.500 0.283 0.570
17 Pt 0.500 0.570 0.717
18 Pt 0.500 0.430 0.283
19 Pt 0.500 0.500 0.000
20 Pt 0.500 0.000 0.500

Properties
E_tot, eV per atom: -5.627
ΔE_f, eV per formula unit: -4.91
Space group: P4/mbm
M_tot, μB/atom: 0.00

# 6
Density functional theory data (PBE-GGA) for crystalline Mg2GeBPt6 at its relaxed geometry.

Cell: 5.658 7.330 8.414 Å, 90.00 90.00 90.00°
Atoms (fractional coordinates):
1 Mg 0.500 0.762 0.263
2 Mg 0.000 0.238 0.763
3 Mg 0.500 0.762 0.737
4 Mg 0.000 0.238 0.237
5 Ge 0.000 0.666 0.500
6 Ge 0.500 0.334 0.000
7 B 0.500 0.188 0.500
8 B 0.000 0.812 0.000
9 Pt 0.500 0.159 0.253
10 Pt 0.500 0.159 0.747
11 Pt 0.000 0.841 0.247
12 Pt 0.000 0.841 0.753
13 Pt 0.246 0.975 0.500
14 Pt 0.754 0.975 0.500
15 Pt 0.238 0.388 0.500
16 Pt 0.762 0.388 0.500
17 Pt 0.738 0.612 0.000
18 Pt 0.262 0.612 0.000
19 Pt 0.254 0.025 0.000
20 Pt 0.746 0.025 0.000

Properties
E_tot, eV per atom: -5.556
ΔE_f, eV per formula unit: -4.83
Space group: Pmmn
M_tot, μB/atom: 0.00

# 7
Density functional theory data (PBE-GGA) for crystalline MgGe2BS6 at its relaxed geometry.

Cell: 6.466 8.556 8.556 Å, 85.85 75.55 75.55°
Atoms (fractional coordinates):
1 Mg 0.250 0.884 0.116
2 Mg 0.750 0.116 0.884
3 Ge 0.352 0.787 0.609
4 Ge 0.148 0.391 0.213
5 Ge 0.648 0.213 0.391
6 Ge 0.852 0.609 0.787
7 B 0.250 0.171 0.829
8 B 0.750 0.829 0.171
9 S 0.153 0.975 0.826
10 S 0.347 0.174 0.025
11 S 0.847 0.025 0.174
12 S 0.653 0.826 0.975
13 S 0.471 0.853 0.330
14 S 0.029 0.670 0.147
15 S 0.529 0.147 0.670
16 S 0.971 0.330 0.853
17 S 0.054 0.711 0.567
18 S 0.446 0.433 0.289
19 S 0.946 0.289 0.433
20 S 0.554 0.567 0.711

Properties
E_tot, eV per atom: -4.591
Energy relative to the elements, uncorrected, eV per atom: -0.3637
Space group: C2/c
M_tot, μB/atom: 0.00

# 8
Density functional theory data (PBE-GGA) for crystalline MgSi2GeB at its relaxed geometry.

Cell: 4.736 4.967 4.736 Å, 90.00 90.00 90.00°
Atoms (fractional coordinates):
1 Mg 0.000 0.500 0.000
2 Ge 0.000 0.000 0.000
3 B 0.500 0.500 0.500
4 Si 0.000 0.000 0.500
5 Si 0.500 0.000 0.000

Properties
E_tot, eV per atom: -3.188
Energy relative to the elements, uncorrected, eV per atom: 1.5588
Space group: P4/mmm
M_tot, μB/atom: 0.00

- E_tot of number 8 (MgSi2GeB)?
  -3.188 eV per atom